# 1
Computed, not measured: a relaxed NdEuLuMg crystal at the PBE level of DFT.

Computed properties:
Volume   31.6 Å³ per atom
Density   6.5 g cm⁻³
Electronic total energy   -5.241 eV/atom

abc: 5.635 5.635 5.635
angles: 60.00 60.00 60.00
Fractional coordinates of all 4 atoms:
Mg (0.750, 0.750, 0.750)
Eu (0.000, 0.000, 0.000)
Nd (0.500, 0.500, 0.500)
Lu (0.250, 0.250, 0.250)

# 2
Computed, not measured: a relaxed La3TmSc crystal at the PBE level of DFT.

Computed properties:
Volume   32.9 Å³ per atom
E above lowest polymorph   0.000 eV/f.u.
Density   6.4 g cm⁻³

abc: 8.993 8.910 8.910
angles: 112.72 89.51 89.51
Fractional coordinates of all 20 atoms:
Sc (0.750, 0.563, 0.437)
La (0.595, 0.787, 0.066)
Sc (0.750, 0.068, 0.932)
Sc (0.250, 0.932, 0.068)
La (0.183, 0.535, 0.960)
La (0.095, 0.066, 0.787)
La (0.090, 0.718, 0.429)
Tm (0.426, 0.790, 0.707)
La (0.410, 0.571, 0.282)
La (0.683, 0.960, 0.535)
Tm (0.074, 0.293, 0.210)
Tm (0.926, 0.707, 0.790)
La (0.590, 0.429, 0.718)
La (0.405, 0.213, 0.934)
Tm (0.574, 0.210, 0.293)
La (0.817, 0.465, 0.040)
La (0.910, 0.282, 0.571)
La (0.317, 0.040, 0.465)
Sc (0.250, 0.437, 0.563)
La (0.905, 0.934, 0.213)

# 3
Computed, not measured: a relaxed CsHg3Pt crystal at the PBE level of DFT.

Computed properties:
Volume   29.6 Å³ per atom
E above lowest polymorph   1.436 eV/f.u.
Density   10.4 g cm⁻³

abc: 3.579 7.238 7.238
angles: 127.85 90.00 90.00
Fractional coordinates of all 5 atoms:
Hg (0.500, 0.507, 0.982)
Hg (0.000, 0.436, 0.564)
Cs (0.500, 0.017, 0.983)
Pt (0.000, 0.650, 0.350)
Hg (0.500, 0.018, 0.493)

# 4
Computed, not measured: a relaxed Ni2Sn3Sb3 crystal at the PBE level of DFT.

Computed properties:
Volume   24.5 Å³ per atom
ΔE_f (raw)   -0.15 eV/atom
Density   7.1 g cm⁻³

abc: 9.215 9.215 9.215
angles: 89.94 89.94 90.06
Fractional coordinates of all 32 atoms:
Ni (0.246, 0.747, 0.752)
Sn (0.830, 0.499, 0.661)
Sn (0.499, 0.339, 0.170)
Sn (0.839, 0.670, 0.999)
Sn (0.001, 0.839, 0.330)
Sb (0.001, 0.841, 0.664)
Ni (0.747, 0.248, 0.754)
Sb (0.501, 0.659, 0.165)
Sb (0.835, 0.501, 0.341)
Ni (0.754, 0.253, 0.248)
Ni (0.253, 0.752, 0.246)
Sn (0.661, 0.170, 0.499)
Ni (0.253, 0.253, 0.747)
Sn (0.999, 0.161, 0.670)
Sn (0.501, 0.661, 0.830)
Sb (0.999, 0.159, 0.336)
Sb (0.664, 0.999, 0.841)
Sb (0.841, 0.336, 0.999)
Ni (0.752, 0.754, 0.747)
Ni (0.248, 0.246, 0.253)
Sn (0.161, 0.330, 0.001)
Sn (0.339, 0.830, 0.501)
Sn (0.670, 0.001, 0.161)
Sn (0.170, 0.501, 0.339)
Sb (0.336, 0.001, 0.159)
Sb (0.659, 0.835, 0.499)
Sb (0.341, 0.165, 0.501)
Sb (0.165, 0.499, 0.659)
Sn (0.330, 0.999, 0.839)
Sb (0.159, 0.664, 0.001)
Sb (0.499, 0.341, 0.835)
Ni (0.747, 0.747, 0.253)

# 5
Computed, not measured: a relaxed La8H3N4 crystal at the PBE level of DFT.

Computed properties:
Volume   19.7 Å³ per atom
Density   6.6 g cm⁻³
Electronic total energy   -6.360 eV/atom

abc: 7.269 7.533 7.533
angles: 92.59 118.73 118.73
Fractional coordinates of all 15 atoms:
H (0.500, 0.500, 0.500)
N (0.500, 0.000, 0.000)
La (0.500, 0.243, 0.757)
La (0.000, 0.761, 0.239)
H (0.500, 0.500, 0.000)
La (0.500, 0.757, 0.243)
N (0.000, 0.000, 0.000)
La (0.527, 0.777, 0.777)
La (0.990, 0.242, 0.242)
La (0.473, 0.223, 0.223)
La (0.000, 0.239, 0.761)
N (0.000, 0.500, 0.000)
N (0.000, 0.000, 0.500)
H (0.500, 0.000, 0.500)
La (0.010, 0.758, 0.758)

# 6
Computed, not measured: a relaxed CsK6Au2O crystal at the PBE level of DFT.

Computed properties:
Volume   45.6 Å³ per atom
ΔE_f (raw)   -0.43 eV/atom
Density   2.8 g cm⁻³

abc: 7.967 7.973 9.497
angles: 65.10 65.09 59.84
Fractional coordinates of all 10 atoms:
O (0.334, 0.334, 0.998)
Cs (0.831, 0.832, 0.509)
Au (0.509, 0.509, 0.469)
K (0.274, 0.703, 0.806)
Au (0.970, 0.969, 0.090)
K (0.963, 0.474, 0.177)
K (0.473, 0.387, 0.176)
K (0.217, 0.273, 0.807)
K (0.703, 0.218, 0.806)
K (0.388, 0.963, 0.177)

# 7
Computed, not measured: a relaxed Ge2Te2Se crystal at the PBE level of DFT.

Computed properties:
Volume   25.9 Å³ per atom
ΔE_f (raw)   0.17 eV/atom
E above lowest polymorph   1.278 eV/f.u.
Density   6.1 g cm⁻³

abc: 8.067 8.067 3.988
angles: 90.00 90.00 90.00
Fractional coordinates of all 10 atoms:
Ge (0.307, 0.807, 0.000)
Ge (0.693, 0.193, 0.000)
Se (0.500, 0.500, 0.000)
Te (0.640, 0.860, 0.500)
Te (0.860, 0.360, 0.500)
Ge (0.807, 0.693, 0.000)
Te (0.360, 0.140, 0.500)
Te (0.140, 0.640, 0.500)
Ge (0.193, 0.307, 0.000)
Se (0.000, 0.000, 0.000)

# 8
Computed, not measured: a relaxed Tb2Dy5Y6 crystal at the PBE level of DFT.

Computed properties:
Volume   32.5 Å³ per atom
Density   6.5 g cm⁻³
Electronic total energy   -5.366 eV/atom

abc: 3.577 11.667 20.269
angles: 90.00 90.00 90.00
Fractional coordinates of all 26 atoms:
Dy (0.500, 0.500, 0.000)
Y (0.000, 0.416, 0.869)
Y (0.000, 0.943, 0.919)
Y (0.500, 0.826, 0.365)
Dy (0.500, 0.000, 0.500)
Y (0.500, 0.174, 0.635)
Y (0.000, 0.057, 0.081)
Dy (0.500, 0.301, 0.451)
Tb (0.000, 0.832, 0.210)
Tb (0.000, 0.332, 0.290)
Tb (0.000, 0.168, 0.790)
Y (0.000, 0.557, 0.419)
Y (0.000, 0.916, 0.631)
Y (0.000, 0.584, 0.131)
Tb (0.000, 0.668, 0.710)
Dy (0.500, 0.911, 0.773)
Y (0.000, 0.084, 0.369)
Dy (0.500, 0.699, 0.549)
Y (0.000, 0.443, 0.581)
Dy (0.500, 0.411, 0.727)
Dy (0.500, 0.589, 0.273)
Dy (0.500, 0.801, 0.049)
Y (0.500, 0.674, 0.865)
Dy (0.500, 0.089, 0.227)
Dy (0.500, 0.199, 0.951)
Y (0.500, 0.326, 0.135)

# 9
Computed, not measured: a relaxed AlTl2I crystal at the PBE level of DFT.

Computed properties:
Volume   32.1 Å³ per atom
ΔE_f (raw)   0.21 eV/atom
E above lowest polymorph   0.472 eV/f.u.
Density   7.3 g cm⁻³

abc: 5.665 5.665 5.665
angles: 60.00 60.00 60.00
Fractional coordinates of all 4 atoms:
Tl (0.750, 0.750, 0.750)
Al (0.000, 0.000, 0.000)
I (0.500, 0.500, 0.500)
Tl (0.250, 0.250, 0.250)

# 10
Computed, not measured: a relaxed HgAu crystal at the PBE level of DFT.

Computed properties:
Volume   21.2 Å³ per atom
Density   15.6 g cm⁻³
Electronic total energy   -1.727 eV/atom

abc: 6.115 6.115 14.019
angles: 155.71 155.71 28.27
Fractional coordinates of all 4 atoms:
Hg (0.908, 0.908, 0.183)
Au (0.016, 0.016, 0.042)
Au (0.984, 0.984, 0.708)
Hg (0.092, 0.092, 0.567)